Entry from Alexandria: crystalline KLa2Cl at its relaxed geometry (PBEsol).

Properties
Electronic total energy = -3.714 eV/atom

Lattice parameters (Å, degrees): 3.5263 5.5546 6.5624 90.00 90.00 90.00
Atoms (fractional coordinates):
K: 0.0000 0.5000 0.5000
Cl: 0.5000 0.0000 0.5000
La: 0.0000 0.0000 0.0000
La: 0.5000 0.5000 0.0000



Entry from Alexandria: crystalline KRb2LaCl6 at its relaxed geometry (PBEsol).

Properties
Electronic total energy = -4.129 eV/atom

Lattice parameters (Å, degrees): 8.0109 8.0109 8.0109 60.00 60.00 60.00
Atoms (fractional coordinates):
K: 0.5000 0.5000 0.5000
Cl: 0.7587 0.2413 0.2413
Cl: 0.2413 0.7587 0.2413
Cl: 0.2413 0.2413 0.7587
Cl: 0.7587 0.2413 0.7587
Cl: 0.7587 0.7587 0.2413
Cl: 0.2413 0.7587 0.7587
Rb: 0.7500 0.7500 0.7500
Rb: 0.2500 0.2500 0.2500
La: 0.0000 0.0000 0.0000



Entry from Alexandria: crystalline KLi2Cl at its relaxed geometry (PBEsol).

Properties
Electronic total energy = -2.420 eV/atom

Lattice parameters (Å, degrees): 7.5270 7.5270 7.5270 91.66 119.05 119.05
Atoms (fractional coordinates):
K: 0.5000 0.7500 0.2500
K: 0.0000 0.0000 0.0000
Li: 0.7978 0.4228 0.1250
Li: 0.2022 0.3272 0.6250
Li: 0.2978 0.8750 0.6728
Li: 0.7022 0.3750 0.5772
Cl: 0.5000 0.2500 0.7500
Cl: 0.0000 0.5000 0.5000



Entry from Alexandria: crystalline KLiCl2 at its relaxed geometry (PBEsol).

Properties
Electronic total energy = -3.602 eV/atom

Lattice parameters (Å, degrees): 3.9341 3.9341 7.1334 73.99 73.99 60.00
Atoms (fractional coordinates):
K: 0.5000 0.5000 0.5000
Cl: 0.2657 0.2657 0.2030
Cl: 0.7343 0.7343 0.7970
Li: 0.0000 0.0000 0.0000



Entry from Alexandria: crystalline KLiCl2 at its relaxed geometry (PBEsol).

Properties
Electronic total energy = -3.581 eV/atom

Lattice parameters (Å, degrees): 4.9114 4.0721 4.9187 90.00 90.00 90.00
Atoms (fractional coordinates):
K: 0.5000 0.4996 0.0000
Cl: 0.0000 0.0006 0.0000
Cl: 0.5000 0.9994 0.5000
Li: 0.0000 0.0003 0.5000



Entry from Alexandria: crystalline K4LiCl at its relaxed geometry (PBEsol).

Properties
Electronic total energy = -1.504 eV/atom

Lattice parameters (Å, degrees): 7.7633 7.7633 7.7633 60.00 60.00 60.00
Atoms (fractional coordinates):
Cl: 0.0000 0.0000 0.0000
K: 0.3746 0.3746 0.3746
K: 0.3746 0.3746 0.8763
K: 0.8763 0.3746 0.3746
K: 0.3746 0.8763 0.3746
Li: 0.7500 0.7500 0.7500



no.,density of states at the Fermi level (states/eV per atom),uncorrected formation energy (eV per atom)
1,1.141,-0.2553
2,0.000,-2.0709
3,0.455,-0.6512
4,0.000,-1.8232
5,0.000,-1.8025
6,0.634,-0.0859